[1]
This record from the Alexandria database describes a relaxed CrAuSe crystal. The functional is GGA-PBEsol.

```
CrAuSe
1.0
2.995 0.000 0.000
0.000 2.995 0.000
0.000 0.000 11.228
Cr Au Se
2 2 2
Cartesian
0.000 0.000 0.000
1.498 1.498 5.614
0.000 0.000 3.782
1.498 1.498 9.396
0.000 0.000 6.903
1.498 1.498 1.289
```

Computed properties:
N(E_F): 3.105 states/eV per cell
Calculated total energy: -5.9250 eV/atom
ρ: 10.811 g cm⁻³
ΔE_f (raw): 0.08 eV per atom
Space group: No. 107


[2]
This record from the Alexandria database describes a relaxed Be2AgW crystal. The functional is GGA-PBEsol.

```
Be2AgW
1.0
7.126 0.000 0.000
0.000 2.642 0.000
-0.657 0.000 5.343
Be Ag W
4 2 2
Cartesian
1.611 0.000 1.285
1.295 1.321 4.059
5.174 1.321 1.285
4.858 0.000 4.059
0.000 1.321 0.000
3.563 0.000 0.000
-0.328 0.000 2.672
3.235 1.321 2.672
```

Computed properties:
Polymorph energy (0 for the lowest one): 5.0 meV/atom
N(E_F): 2.733 states/eV per cell
Calculated total energy: -5.7978 eV/atom
ρ: 10.225 g cm⁻³
Space group: No. 12
Energy of formation: 0.4819 eV per atom